PBE-GGA LaRe2As, optimized geometry; E_form = 1.2 eV/f.u.; V = 22.4 A^3/atom
1.0
4.4521 0.0000 0.0000
0.0000 4.4521 0.0000
2.2261 2.2261 9.0527
Re As La
4 2 2
Direct
0.4971 0.1250 0.2500 Re
0.3750 0.5029 0.7500 Re
0.2529 0.6250 0.2500 Re
0.8750 0.7471 0.7500 Re
0.5000 0.5000 0.0000 As
0.2500 0.7500 0.5000 As
0.0000 0.0000 0.0000 La
0.7500 0.2500 0.5000 La